# GGA-PBE Al2PH2, relaxed
# E above lowest polymorph, meV/atom: 0.0
data_Al2PH2
_chemical_formula_sum 'Al4 P2 H4'
_cell_length_a 3.817
_cell_length_b 3.817
_cell_length_c 7.401
_cell_angle_alpha 90.00
_cell_angle_beta 90.00
_cell_angle_gamma 90.00
_symmetry_space_group_name_H-M 'I 4/m m m'
_symmetry_Int_Tables_number 139
_symmetry_space_group_name_Hall '-I 4 2'
loop_
_atom_site_label
_atom_site_fract_x
_atom_site_fract_y
_atom_site_fract_z
Al1 0.000 0.500 0.250
P1 0.000 0.000 0.000
H1 0.000 0.000 0.350



# GGA-PBE TaV2Ga2, relaxed
# E above lowest polymorph, meV/atom: 0.0
# Formation energy from the elements, meV/atom: -184
data_TaV2Ga2
_chemical_formula_sum 'Ta2 V4 Ga4'
_cell_length_a 6.822
_cell_length_b 6.822
_cell_length_c 3.235
_cell_angle_alpha 90.00
_cell_angle_beta 90.00
_cell_angle_gamma 90.00
_symmetry_space_group_name_H-M 'P 4/m b m'
_symmetry_Int_Tables_number 127
_symmetry_space_group_name_Hall '-P 4 2ab'
loop_
_atom_site_label
_atom_site_fract_x
_atom_site_fract_y
_atom_site_fract_z
Ta1 0.000 0.000 0.000
V1 0.175 0.325 0.500
Ga1 0.127 0.627 0.000



# GGA-PBE TbNd2Sc, relaxed
# E above lowest polymorph, meV/atom: 68.8
# Formation energy from the elements, meV/atom: 108
data_TbNd2Sc
_chemical_formula_sum 'Tb4 Nd8 Sc4'
_cell_length_a 7.974
_cell_length_b 7.974
_cell_length_c 7.974
_cell_angle_alpha 90.00
_cell_angle_beta 90.00
_cell_angle_gamma 90.00
_symmetry_space_group_name_H-M 'F m -3 m'
_symmetry_Int_Tables_number 225
_symmetry_space_group_name_Hall '-F 4 2 3'
loop_
_atom_site_label
_atom_site_fract_x
_atom_site_fract_y
_atom_site_fract_z
Tb1 0.000 0.000 0.000
Nd1 0.250 0.250 0.250
Sc1 0.000 0.000 0.500



# GGA-PBE Na3Br2N2, relaxed
# E_form (uncorrected), eV/f.u.: -5.627
data_Na3Br2N2
_chemical_formula_sum 'Na6 Br4 N4'
_cell_length_a 4.099
_cell_length_b 4.783
_cell_length_c 16.696
_cell_angle_alpha 90.00
_cell_angle_beta 90.00
_cell_angle_gamma 90.00
_symmetry_space_group_name_H-M 'I m m m'
_symmetry_Int_Tables_number 71
_symmetry_space_group_name_Hall '-I 2 2'
loop_
_atom_site_label
_atom_site_fract_x
_atom_site_fract_y
_atom_site_fract_z
Na1 0.000 0.000 0.000
Na2 0.000 0.000 0.348
Br1 0.000 0.000 0.169
N1 0.145 0.500 0.000



# GGA-PBE NdZn2Sn, relaxed
# E above lowest polymorph, meV/atom: 143.0
# Formation energy from the elements, meV/atom: -239
data_NdZn2Sn
_chemical_formula_sum 'Nd2 Zn4 Sn2'
_cell_length_a 4.452
_cell_length_b 5.826
_cell_length_c 7.297
_cell_angle_alpha 90.00
_cell_angle_beta 90.00
_cell_angle_gamma 90.00
_symmetry_space_group_name_H-M 'A m m 2'
_symmetry_Int_Tables_number 38
loop_
_symmetry_equiv_pos_as_xyz
'x,y,z'
'-x,-y,z'
'-x,y,z'
'x,-y,z'
'x,y+1/2,z+1/2'
'-x,-y+1/2,z+1/2'
'-x,y+1/2,z+1/2'
'x,-y+1/2,z+1/2'
loop_
_atom_site_label
_atom_site_fract_x
_atom_site_fract_y
_atom_site_fract_z
Nd1 0.000 0.000 0.000
Zn1 0.000 0.000 0.550
Zn2 0.500 0.000 0.711
Sn1 0.500 0.000 0.320



# GGA-PBE DyScH, relaxed
# E above lowest polymorph, meV/atom: 87.5
data_DyScH
_chemical_formula_sum 'Dy1 Sc1 H1'
_cell_length_a 3.4702
_cell_length_b 3.4702
_cell_length_c 5.3462
_cell_angle_alpha 90.00
_cell_angle_beta 90.00
_cell_angle_gamma 120.00
_symmetry_space_group_name_H-M 'P 3 m 1'
_symmetry_Int_Tables_number 156
loop_
_symmetry_equiv_pos_as_xyz
'x,y,z'
'-y,x-y,z'
'-x+y,-x,z'
'-y,-x,z'
'-x+y,y,z'
'x,x-y,z'
loop_
_atom_site_label
_atom_site_fract_x
_atom_site_fract_y
_atom_site_fract_z
Dy1 0.0000 0.0000 0.0000
Sc1 0.6667 0.3333 0.5115
H1 0.3333 0.6667 0.7381



# GGA-PBE CePa6Se8, relaxed
# E_form (uncorrected), eV/f.u.: -20.184
# E above lowest polymorph, meV/atom: 0.0
data_CePa6Se8
_chemical_formula_sum 'Ce4 Pa24 Se32'
_cell_length_a 11.459
_cell_length_b 11.459
_cell_length_c 11.459
_cell_angle_alpha 90.00
_cell_angle_beta 90.00
_cell_angle_gamma 90.00
_symmetry_space_group_name_H-M 'F m -3 m'
_symmetry_Int_Tables_number 225
_symmetry_space_group_name_Hall '-F 4 2 3'
loop_
_atom_site_label
_atom_site_fract_x
_atom_site_fract_y
_atom_site_fract_z
Ce1 0.000 0.000 0.000
Pa1 0.000 0.250 0.250
Se1 0.000 0.000 0.263
Se2 0.250 0.250 0.250



# GGA-PBE ZnHg2Br, relaxed
# E_form (uncorrected), eV/f.u.: -0.447
# E above lowest polymorph, meV/atom: 73.5
data_ZnHg2Br
_chemical_formula_sum 'Zn4 Hg8 Br4'
_cell_length_a 8.240
_cell_length_b 8.240
_cell_length_c 6.209
_cell_angle_alpha 90.00
_cell_angle_beta 90.00
_cell_angle_gamma 90.00
_symmetry_space_group_name_H-M 'I -4 2 d'
_symmetry_Int_Tables_number 122
_symmetry_space_group_name_Hall 'I -4 2bw'
loop_
_atom_site_label
_atom_site_fract_x
_atom_site_fract_y
_atom_site_fract_z
Zn1 0.000 0.000 0.000
Hg1 0.200 0.750 0.125
Br1 0.000 0.000 0.500



# GGA-PBE CePmErHg, relaxed
# Formation energy from the elements, meV/atom: -7
data_CePmErHg
_chemical_formula_sum 'Ce4 Pm4 Er4 Hg4'
_cell_length_a 7.681
_cell_length_b 7.681
_cell_length_c 7.681
_cell_angle_alpha 90.00
_cell_angle_beta 90.00
_cell_angle_gamma 90.00
_symmetry_space_group_name_H-M 'F -4 3 m'
_symmetry_Int_Tables_number 216
_symmetry_space_group_name_Hall 'F -4 2 3'
loop_
_atom_site_label
_atom_site_fract_x
_atom_site_fract_y
_atom_site_fract_z
Ce1 0.000 0.000 0.000
Pm1 0.250 0.250 0.250
Er1 0.000 0.000 0.500
Hg1 0.250 0.250 0.750



# GGA-PBE CrP2Se, relaxed
# E_form (uncorrected), eV/f.u.: 0.437
data_CrP2Se
_chemical_formula_sum 'Cr1 P2 Se1'
_cell_length_a 2.877
_cell_length_b 2.877
_cell_length_c 7.904
_cell_angle_alpha 90.00
_cell_angle_beta 90.00
_cell_angle_gamma 90.00
_symmetry_space_group_name_H-M 'P 4/m m m'
_symmetry_Int_Tables_number 123
_symmetry_space_group_name_Hall '-P 4 2'
loop_
_atom_site_label
_atom_site_fract_x
_atom_site_fract_y
_atom_site_fract_z
Cr1 0.000 0.000 0.000
P1 0.500 0.500 0.161
Se1 0.000 0.000 0.500



# GGA-PBE UPaPb, relaxed
# E above lowest polymorph, meV/atom: 0.0
# Formation energy from the elements, meV/atom: 213
data_UPaPb
_chemical_formula_sum 'U2 Pa2 Pb2'
_cell_length_a 3.686
_cell_length_b 3.686
_cell_length_c 10.762
_cell_angle_alpha 90.00
_cell_angle_beta 90.00
_cell_angle_gamma 90.00
_symmetry_space_group_name_H-M 'I 4 m m'
_symmetry_Int_Tables_number 107
_symmetry_space_group_name_Hall 'I 4 -2'
loop_
_atom_site_label
_atom_site_fract_x
_atom_site_fract_y
_atom_site_fract_z
U1 0.000 0.000 0.000
Pa1 0.000 0.000 0.596
Pb1 0.000 0.000 0.299



# GGA-PBE AcTbNdTh, relaxed
# E above lowest polymorph, meV/atom: 0.0
# Formation energy from the elements, meV/atom: 45
data_AcTbNdTh
_chemical_formula_sum 'Ac1 Tb1 Nd1 Th1'
_cell_length_a 3.697
_cell_length_b 3.697
_cell_length_c 10.515
_cell_angle_alpha 90.00
_cell_angle_beta 90.00
_cell_angle_gamma 90.00
_symmetry_space_group_name_H-M 'P 4 m m'
_symmetry_Int_Tables_number 99
loop_
_symmetry_equiv_pos_as_xyz
'x,y,z'
'-y,x,z'
'-x,-y,z'
'y,-x,z'
'-x,y,z'
'y,x,z'
'x,-y,z'
'-y,-x,z'
loop_
_atom_site_label
_atom_site_fract_x
_atom_site_fract_y
_atom_site_fract_z
Ac1 0.000 0.000 0.000
Tb1 0.500 0.500 0.267
Nd1 0.500 0.500 0.723
Th1 0.000 0.000 0.492



# GGA-PBE Cs2UTe6Au2, relaxed
# E_form (uncorrected), eV/f.u.: -5.048
data_Cs2UTe6Au2
_chemical_formula_sum 'Cs4 U2 Te12 Au4'
_cell_length_a 14.696
_cell_length_b 8.475
_cell_length_c 8.740
_cell_angle_alpha 90.00
_cell_angle_beta 124.28
_cell_angle_gamma 90.00
_symmetry_space_group_name_H-M 'C 1 2/m 1'
_symmetry_Int_Tables_number 12
loop_
_symmetry_equiv_pos_as_xyz
'x,y,z'
'-x,-y,-z'
'-x,y,-z'
'x,-y,z'
'x+1/2,y+1/2,z'
'-x+1/2,-y+1/2,-z'
'-x+1/2,y+1/2,-z'
'x+1/2,-y+1/2,z'
loop_
_atom_site_label
_atom_site_fract_x
_atom_site_fract_y
_atom_site_fract_z
Cs1 0.244 0.000 0.231
U1 0.000 0.000 0.500
Te1 0.009 0.229 0.757
Te2 0.239 0.000 0.758
Au1 0.087 0.500 0.261



# GGA-PBE MgNi, relaxed
# Formation energy from the elements, meV/atom: -140
data_MgNi
_chemical_formula_sum 'Mg9 Ni9'
_cell_length_a 5.0196
_cell_length_b 5.0196
_cell_length_c 12.1420
_cell_angle_alpha 90.00
_cell_angle_beta 90.00
_cell_angle_gamma 120.00
_symmetry_space_group_name_H-M 'R -3 m'
_symmetry_Int_Tables_number 166
_symmetry_space_group_name_Hall '-R 3 2"'
loop_
_atom_site_label
_atom_site_fract_x
_atom_site_fract_y
_atom_site_fract_z
Mg1 0.0000 0.0000 0.0000
Mg2 0.0000 0.0000 0.3807
Ni1 0.0000 0.5000 0.5000



# GGA-PBE YTaIn2, relaxed
# Formation energy from the elements, meV/atom: 101
data_YTaIn2
_chemical_formula_sum 'Y1 Ta1 In2'
_cell_length_a 3.173
_cell_length_b 5.230
_cell_length_c 5.499
_cell_angle_alpha 90.00
_cell_angle_beta 93.65
_cell_angle_gamma 90.00
_symmetry_space_group_name_H-M 'P 1 m 1'
_symmetry_Int_Tables_number 6
loop_
_symmetry_equiv_pos_as_xyz
'x,y,z'
'x,-y,z'
loop_
_atom_site_label
_atom_site_fract_x
_atom_site_fract_y
_atom_site_fract_z
Y1 0.000 0.000 0.000
Ta1 0.149 0.500 0.660
In1 0.531 0.000 0.509
In2 0.550 0.500 0.168



# GGA-PBE Pm2ZnSi, relaxed
# E_form (uncorrected), eV/f.u.: -2.087
# E above lowest polymorph, meV/atom: 0.0
data_Pm2ZnSi
_chemical_formula_sum 'Pm4 Zn2 Si2'
_cell_length_a 5.997
_cell_length_b 4.104
_cell_length_c 8.545
_cell_angle_alpha 90.00
_cell_angle_beta 109.95
_cell_angle_gamma 90.00
_symmetry_space_group_name_H-M 'P 1 21/m 1'
_symmetry_Int_Tables_number 11
loop_
_symmetry_equiv_pos_as_xyz
'x,y,z'
'-x,-y,-z'
'-x,y+1/2,-z'
'x,-y+1/2,z'
loop_
_atom_site_label
_atom_site_fract_x
_atom_site_fract_y
_atom_site_fract_z
Pm1 0.214 0.250 0.422
Pm2 0.286 0.750 0.064
Zn1 0.159 0.250 0.779
Si1 0.360 0.750 0.709



# GGA-PBE Tb5Tl3Te12, relaxed
# E_form (uncorrected), eV/f.u.: -12.677
data_Tb5Tl3Te12
_chemical_formula_sum 'Tb40 Tl24 Te96'
_cell_length_a 18.745
_cell_length_b 18.745
_cell_length_c 18.745
_cell_angle_alpha 90.00
_cell_angle_beta 90.00
_cell_angle_gamma 90.00
_symmetry_space_group_name_H-M 'I a -3 d'
_symmetry_Int_Tables_number 230
_symmetry_space_group_name_Hall '-I 4bd 2c 3'
loop_
_atom_site_label
_atom_site_fract_x
_atom_site_fract_y
_atom_site_fract_z
Tb1 0.000 0.000 0.000
Tb2 0.000 0.250 0.375
Tl1 0.000 0.250 0.125
Te1 0.046 0.078 0.638



# GGA-PBE Tb7Y4Tl, relaxed
# Formation energy from the elements, meV/atom: -23
data_Tb7Y4Tl
_chemical_formula_sum 'Tb7 Y4 Tl1'
_cell_length_a 3.5730
_cell_length_b 3.5730
_cell_length_c 34.2989
_cell_angle_alpha 90.00
_cell_angle_beta 90.00
_cell_angle_gamma 120.00
_symmetry_space_group_name_H-M 'P -3 m 1'
_symmetry_Int_Tables_number 164
_symmetry_space_group_name_Hall '-P 3 2"'
loop_
_atom_site_label
_atom_site_fract_x
_atom_site_fract_y
_atom_site_fract_z
Tb1 0.0000 0.0000 0.0000
Tb2 0.0000 0.0000 0.2537
Tb3 0.3333 0.6667 0.1693
Tb4 0.3333 0.6667 0.4227
Y1 0.3333 0.6667 0.6616
Y2 0.3333 0.6667 0.9153
Tl1 0.0000 0.0000 0.5000



# GGA-PBE AlCo3Ir, relaxed
# E above lowest polymorph, meV/atom: 0.0
# Formation energy from the elements, meV/atom: 1149
data_AlCo3Ir
_chemical_formula_sum 'Al1 Co3 Ir1'
_cell_length_a 4.148
_cell_length_b 4.148
_cell_length_c 4.148
_cell_angle_alpha 90.00
_cell_angle_beta 90.00
_cell_angle_gamma 90.00
_symmetry_space_group_name_H-M 'P m -3 m'
_symmetry_Int_Tables_number 221
_symmetry_space_group_name_Hall '-P 4 2 3'
loop_
_atom_site_label
_atom_site_fract_x
_atom_site_fract_y
_atom_site_fract_z
Al1 0.000 0.000 0.000
Co1 0.000 0.000 0.500
Ir1 0.500 0.500 0.500



# GGA-PBE CdGeO3, relaxed
# E_form (uncorrected), eV/f.u.: -7.235
data_CdGeO3
_chemical_formula_sum 'Cd8 Ge8 O24'
_cell_length_a 10.373
_cell_length_b 9.875
_cell_length_c 5.484
_cell_angle_alpha 90.00
_cell_angle_beta 102.95
_cell_angle_gamma 90.00
_symmetry_space_group_name_H-M 'C 1 2/c 1'
_symmetry_Int_Tables_number 15
loop_
_symmetry_equiv_pos_as_xyz
'x,y,z'
'-x,-y,-z'
'-x,y,-z+1/2'
'x,-y,z+1/2'
'x+1/2,y+1/2,z'
'-x+1/2,-y+1/2,-z'
'-x+1/2,y+1/2,-z+1/2'
'x+1/2,-y+1/2,z+1/2'
loop_
_atom_site_label
_atom_site_fract_x
_atom_site_fract_y
_atom_site_fract_z
Cd1 0.000 0.097 0.250
Cd2 0.000 0.288 0.750
Ge1 0.205 0.412 0.273
O1 0.121 0.093 0.653
O2 0.125 0.269 0.130
O3 0.148 0.448 0.558